The following is a DFT calculation (PBE) of a geometry-optimized NaAl2CdAu4 structure.

Results
Volume in Å³ per atom: 18.03
Raw total energy in eV per atom: -3.09
Calculated formation energy in eV per atom: -0.24
Total moment in μB/f.u.: 0.0

Lattice parameters (Å, degrees): 4.615 4.615 8.262 73.78 73.78 60.00
Fractional positions:
Na 0.000 0.000 0.000
Al 0.745 0.745 0.764
Al 0.255 0.255 0.236
Cd 0.500 0.500 0.500
Au 0.378 0.378 0.866
Au 0.879 0.879 0.364
Au 0.121 0.121 0.636
Au 0.622 0.622 0.134

The following is a DFT calculation (PBE) of a geometry-optimized NaAlCdAu structure.

Results
Volume in Å³ per atom: 19.38
Raw total energy in eV per atom: -2.44
Calculated formation energy in eV per atom: -0.13
Total moment in μB/f.u.: 0.0

Lattice parameters (Å, degrees): 4.786 4.786 4.786 60.00 60.00 60.00
Fractional positions:
Na 0.500 0.500 0.500
Au 0.750 0.750 0.750
Al 0.000 0.000 0.000
Cd 0.250 0.250 0.250

The following is a DFT calculation (PBE) of a geometry-optimized NaAlCdAu2 structure.

Results
Volume in Å³ per atom: 28.59
Raw total energy in eV per atom: -2.02
Calculated formation energy in eV per atom: 0.49
Total moment in μB/f.u.: 0.0

Lattice parameters (Å, degrees): 5.234 5.218 5.234 90.00 90.00 90.00
Fractional positions:
Na 0.000 0.500 0.000
Au 0.000 0.000 0.500
Au 0.500 0.000 0.000
Al 0.500 0.500 0.500
Cd 0.000 0.000 0.000

The following is a DFT calculation (PBE) of a geometry-optimized NdAlCd2Au4 structure.

Results
Volume in Å³ per atom: 20.67
Raw total energy in eV per atom: -3.35
Calculated formation energy in eV per atom: -0.42
Total moment in μB/f.u.: 0.0

Lattice parameters (Å, degrees): 4.715 4.715 9.012 74.83 74.83 60.00
Fractional positions:
Nd 0.000 0.000 0.000
Al 0.500 0.500 0.500
Cd 0.752 0.752 0.745
Cd 0.248 0.248 0.255
Au 0.394 0.394 0.817
Au 0.866 0.866 0.402
Au 0.134 0.134 0.598
Au 0.606 0.606 0.183